A plane-wave DFT calculation with PBE was carried out for a relaxed KUZnN3 crystal.

a = 3.563 Å, b = 9.092 Å, c = 6.988 Å
α = 110.46°, β = 90.00°, γ = 90.00°
Positions (direct):
K 0.250 0.289 0.340
K 0.750 0.711 0.660
U 0.250 0.671 0.136
U 0.750 0.329 0.864
Zn 0.250 0.059 0.645
Zn 0.750 0.941 0.355
N 0.750 0.786 0.073
N 0.250 0.214 0.927
N 0.250 0.839 0.443
N 0.750 0.161 0.557
N 0.750 0.524 0.164
N 0.250 0.476 0.836

Results
Its space group is No. 11. The calculation puts the raw total energy at -7.12 eV/atom.